Below is a geometry-optimized V2Re2O11 structure, with properties calculated at the PBE with a Hubbard U level.

Calculated values
The value obtained for the polymorph energy (0 for the lowest one) is 0.000 eV/atom. Its total magnetization is 4.00 Bohr magnetons per cell. The density of states at the Fermi level comes out at 0.013 states/eV/atom. The value obtained for the raw total energy is -238.0 eV/cell.

```
V2Re2O11
1.0
3.419 -9.043 0.000
3.419 9.043 0.000
0.000 0.000 7.740
V Re O
4 4 22
direct
0.007 0.993 0.500 V
0.203 0.797 0.511 V
0.797 0.203 0.011 V
0.993 0.007 0.000 V
0.210 0.790 0.003 Re
0.444 0.556 0.445 Re
0.556 0.444 0.945 Re
0.790 0.210 0.503 Re
0.004 0.996 0.717 O
0.020 0.512 0.971 O
0.109 0.891 0.459 O
0.113 0.887 0.982 O
0.213 0.787 0.730 O
0.216 0.784 0.229 O
0.289 0.292 0.962 O
0.292 0.289 0.462 O
0.378 0.622 0.607 O
0.399 0.601 0.249 O
0.488 0.980 0.971 O
0.512 0.020 0.471 O
0.601 0.399 0.749 O
0.622 0.378 0.107 O
0.708 0.711 0.962 O
0.711 0.708 0.462 O
0.784 0.216 0.729 O
0.787 0.213 0.230 O
0.887 0.113 0.482 O
0.891 0.109 0.959 O
0.980 0.488 0.471 O
0.996 0.004 0.217 O
```